# 1
CaSmN2 PBE optimized geometry; formation energy from raw total energies = -0.796 eV/atom; DOS at the Fermi energy = 0.78 states/eV per atom; electronic total energy = -0.4879 Ry/atom
1.0
3.533 0.000 0.000
-1.766 3.059 0.000
0.000 0.000 18.125
Ca Sm N
3 3 6
Cartesian
0.000 0.000 0.000
0.000 2.040 12.084
1.766 1.020 6.042
0.000 0.000 3.144
0.000 2.040 15.227
1.766 1.020 9.186
0.000 0.000 10.582
0.000 0.000 13.808
0.000 2.040 4.540
0.000 2.040 7.766
1.766 1.020 1.725
1.766 1.020 16.623

***

# 2
CaSm3N4 PBE optimized geometry; formation energy from raw total energies = -1.215 eV/atom; DOS at the Fermi energy = 0.42 states/eV per atom; electronic total energy = -0.5437 Ry/atom
1.0
5.045 0.000 0.000
0.000 5.045 0.000
0.000 0.000 5.045
Ca Sm N
1 3 4
Cartesian
0.000 0.000 0.000
0.000 2.523 2.523
2.523 0.000 2.523
2.523 2.523 0.000
0.000 0.000 2.523
0.000 2.523 0.000
2.523 0.000 0.000
2.523 2.523 2.523

***

# 3
CaSm2SnN4 PBE optimized geometry; formation energy from raw total energies = -0.788 eV/atom; electronic total energy = -0.5058 Ry/atom
1.0
1.756 -6.088 0.000
1.756 6.088 0.000
0.000 0.000 12.436
Ca Sm Sn N
2 4 2 8
Cartesian
1.756 4.659 9.327
1.756 -4.659 3.109
1.756 1.584 6.581
1.756 1.584 12.073
1.756 -1.584 0.363
1.756 -1.584 5.855
1.756 4.279 3.109
1.756 -4.279 9.327
0.000 0.000 0.000
0.000 0.000 6.218
1.756 2.958 1.515
1.756 2.958 4.704
1.756 0.576 9.327
1.756 -0.576 3.109
1.756 -2.958 7.733
1.756 -2.958 10.922